## LaPm5Sm4 (PBE-GGA)

Data for an optimized crystal structure of LaPm5Sm4.

abc: 3.5079 6.9457 14.5092
angles: 97.26 96.94 90.00
Fractional positions:
Pm 0.7981 0.3996 0.5963
La 0.5000 0.0000 0.0000
Sm 0.3915 0.1954 0.7830
Pm 0.5000 0.5000 0.0000
Sm 0.9051 0.6952 0.8102
Sm 0.6085 0.8046 0.2170
Sm 0.0949 0.3048 0.1898
Pm 0.7942 0.8982 0.5884
Pm 0.2019 0.6004 0.4037
Pm 0.2058 0.1018 0.4116

Computed properties:
Final energy (eV for the cell shown): -46.175
Formation enthalpy at 0 K (meV/atom): 138
DOS at the Fermi energy (states/eV/atom): 1.750
SG: C2/m
Volume (Å³ per cell): 348.1
E above lowest polymorph (eV/atom): 0.0000